First-principles (SCAN) data for a PBEsol-optimized structure of ErInAu, as listed in the Alexandria database.

Computed properties:
spin magnetization: 0.00 μB per cell
crystal system: hexagonal
formation energy from the elements: -0.97 eV per atom

```
data_ErInAu
_chemical_formula_sum 'Er3 In3 Au3'
_space_group_name_H-M_alt 'P -6 2 m'
_space_group_IT_number 189
_space_group_name_Hall 'P -6 -2'
_cell_length_a 7.6755
_cell_length_b 7.6755
_cell_length_c 3.8053
_cell_angle_alpha 90.00
_cell_angle_beta 90.00
_cell_angle_gamma 120.00
loop_
_atom_site_label
_atom_site_fract_x
_atom_site_fract_y
_atom_site_fract_z
Er1 0.0000 0.4011 0.0000
In1 0.0000 0.7342 0.5000
Au1 0.0000 0.0000 0.0000
Au2 0.3333 0.6667 0.5000
```

***

First-principles (SCAN) data for a PBEsol-optimized structure of K2SiRu, as listed in the Alexandria database.

Computed properties:
spin magnetization: 3.11 μB per cell
crystal system: trigonal

```
data_K2SiRu
_chemical_formula_sum 'K6 Si3 Ru3'
_space_group_name_H-M_alt 'R -3 m'
_space_group_IT_number 166
_space_group_name_Hall '-R 3 2"'
_cell_length_a 2.8844
_cell_length_b 2.8844
_cell_length_c 33.7829
_cell_angle_alpha 90.00
_cell_angle_beta 90.00
_cell_angle_gamma 120.00
loop_
_atom_site_label
_atom_site_fract_x
_atom_site_fract_y
_atom_site_fract_z
K1 0.0000 0.0000 0.2484
Si1 0.0000 0.0000 0.0000
Ru1 0.0000 0.0000 0.5000
```

***

First-principles (SCAN) data for a PBEsol-optimized structure of Sr5Ag, as listed in the Alexandria database.

Computed properties:
relative energy among the computed polymorphs: 497 meV/atom
spin magnetization: 1.22 μB per cell
crystal system: cubic
formation energy from the elements: 0.42 eV per atom

```
data_Sr5Ag
_chemical_formula_sum 'Sr20 Ag4'
_space_group_name_H-M_alt 'F -4 3 m'
_space_group_IT_number 216
_space_group_name_Hall 'F -4 2 3'
_cell_length_a 10.5498
_cell_length_b 10.5498
_cell_length_c 10.5498
_cell_angle_alpha 90.00
_cell_angle_beta 90.00
_cell_angle_gamma 90.00
loop_
_atom_site_label
_atom_site_fract_x
_atom_site_fract_y
_atom_site_fract_z
Sr1 0.0000 0.0000 0.0000
Sr2 0.1249 0.1249 0.6249
Ag1 0.2500 0.2500 0.2500
```

***

First-principles (SCAN) data for a PBEsol-optimized structure of AgAsPt2, as listed in the Alexandria database.

Computed properties:
spin magnetization: 0.00 μB per cell
crystal system: tetragonal
formation energy from the elements: -0.04 eV per atom

```
data_AgAsPt2
_chemical_formula_sum 'Ag1 As1 Pt2'
_space_group_name_H-M_alt 'P 4/m m m'
_space_group_IT_number 123
_space_group_name_Hall '-P 4 2'
_cell_length_a 2.9778
_cell_length_b 2.9778
_cell_length_c 7.1131
_cell_angle_alpha 90.00
_cell_angle_beta 90.00
_cell_angle_gamma 90.00
loop_
_atom_site_label
_atom_site_fract_x
_atom_site_fract_y
_atom_site_fract_z
Ag1 0.0000 0.0000 0.0000
As1 0.0000 0.0000 0.5000
Pt1 0.5000 0.5000 0.2695
```

***

First-principles (SCAN) data for a PBEsol-optimized structure of Tl2Hg2Sb, as listed in the Alexandria database.

Computed properties:
relative energy among the computed polymorphs: 0 meV/atom
spin magnetization: 0.00 μB per cell
crystal system: tetragonal

```
data_Tl2Hg2Sb
_chemical_formula_sum 'Tl4 Hg4 Sb2'
_space_group_name_H-M_alt 'P 4/m b m'
_space_group_IT_number 127
_space_group_name_Hall '-P 4 2ab'
_cell_length_a 7.5646
_cell_length_b 7.5646
_cell_length_c 4.8010
_cell_angle_alpha 90.00
_cell_angle_beta 90.00
_cell_angle_gamma 90.00
loop_
_atom_site_label
_atom_site_fract_x
_atom_site_fract_y
_atom_site_fract_z
Tl1 0.1734 0.3266 0.0000
Hg1 0.1340 0.6340 0.5000
Sb1 0.0000 0.0000 0.5000
```

***

First-principles (SCAN) data for a PBEsol-optimized structure of CsGaIO2, as listed in the Alexandria database.

Computed properties:
spin magnetization: 1.09 μB per cell
crystal system: tetragonal

```
data_CsGaIO2
_chemical_formula_sum 'Cs1 Ga1 I1 O2'
_space_group_name_H-M_alt 'P 4/m m m'
_space_group_IT_number 123
_space_group_name_Hall '-P 4 2'
_cell_length_a 4.4745
_cell_length_b 4.4745
_cell_length_c 5.3994
_cell_angle_alpha 90.00
_cell_angle_beta 90.00
_cell_angle_gamma 90.00
loop_
_atom_site_label
_atom_site_fract_x
_atom_site_fract_y
_atom_site_fract_z
Cs1 0.0000 0.0000 0.0000
Ga1 0.5000 0.5000 0.5000
I1 0.5000 0.5000 0.0000
O1 0.0000 0.5000 0.5000
```

***

First-principles (SCAN) data for a PBEsol-optimized structure of La2PPb, as listed in the Alexandria database.

Computed properties:
relative energy among the computed polymorphs: 393 meV/atom
spin magnetization: 0.00 μB per cell
crystal system: tetragonal
formation energy from the elements: -0.88 eV per atom

```
data_La2PPb
_chemical_formula_sum 'La4 P2 Pb2'
_space_group_name_H-M_alt 'I -4 m 2'
_space_group_IT_number 119
_space_group_name_Hall 'I -4 -2'
_cell_length_a 4.4500
_cell_length_b 4.4500
_cell_length_c 10.8882
_cell_angle_alpha 90.00
_cell_angle_beta 90.00
_cell_angle_gamma 90.00
loop_
_atom_site_label
_atom_site_fract_x
_atom_site_fract_y
_atom_site_fract_z
La1 0.0000 0.0000 0.0000
La2 0.0000 0.5000 0.2500
P1 0.0000 0.0000 0.5000
Pb1 0.0000 0.5000 0.7500
```

***

First-principles (SCAN) data for a PBEsol-optimized structure of MnCo2Si, as listed in the Alexandria database.

Computed properties:
spin magnetization: 9.39 μB per cell
crystal system: monoclinic

```
data_MnCo2Si
_chemical_formula_sum 'Mn2 Co4 Si2'
_space_group_name_H-M_alt 'C 1 m 1'
_space_group_IT_number 8
_cell_length_a 8.3775
_cell_length_b 2.7041
_cell_length_c 3.9798
_cell_angle_alpha 90.00
_cell_angle_beta 108.37
_cell_angle_gamma 90.00
loop_
_space_group_symop_operation_xyz
'x,y,z'
'x,-y,z'
'x+1/2,y+1/2,z'
'x+1/2,-y+1/2,z'
loop_
_atom_site_label
_atom_site_fract_x
_atom_site_fract_y
_atom_site_fract_z
Mn1 0.0000 0.0000 0.0000
Co1 0.2540 0.0000 0.8479
Co2 0.4879 0.0000 0.4903
Si1 0.2513 0.5000 0.3475
```

***

First-principles (SCAN) data for a PBEsol-optimized structure of AlHgSe, as listed in the Alexandria database.

Computed properties:
relative energy among the computed polymorphs: 162 meV/atom
spin magnetization: 0.01 μB per cell
crystal system: cubic

```
data_AlHgSe
_chemical_formula_sum 'Al4 Hg4 Se4'
_space_group_name_H-M_alt 'F -4 3 m'
_space_group_IT_number 216
_space_group_name_Hall 'F -4 2 3'
_cell_length_a 6.6663
_cell_length_b 6.6663
_cell_length_c 6.6663
_cell_angle_alpha 90.00
_cell_angle_beta 90.00
_cell_angle_gamma 90.00
loop_
_atom_site_label
_atom_site_fract_x
_atom_site_fract_y
_atom_site_fract_z
Al1 0.0000 0.0000 0.0000
Hg1 0.2500 0.2500 0.7500
Se1 0.0000 0.0000 0.5000
```

***

First-principles (SCAN) data for a PBEsol-optimized structure of KMn2Pt, as listed in the Alexandria database.

Computed properties:
relative energy among the computed polymorphs: 260 meV/atom
spin magnetization: 8.63 μB per cell
crystal system: orthorhombic
formation energy from the elements: 0.43 eV per atom

```
data_KMn2Pt
_chemical_formula_sum 'K1 Mn2 Pt1'
_space_group_name_H-M_alt 'P m m m'
_space_group_IT_number 47
_cell_length_a 2.8453
_cell_length_b 4.8355
_cell_length_c 5.0911
_cell_angle_alpha 90.00
_cell_angle_beta 90.00
_cell_angle_gamma 90.00
loop_
_space_group_symop_operation_xyz
'x,y,z'
'-x,-y,-z'
'-x,-y,z'
'x,y,-z'
'x,-y,-z'
'-x,y,z'
'-x,y,-z'
'x,-y,z'
loop_
_atom_site_label
_atom_site_fract_x
_atom_site_fract_y
_atom_site_fract_z
K1 0.0000 0.0000 0.0000
Mn1 0.0000 0.5000 0.5000
Mn2 0.5000 0.5000 0.0000
Pt1 0.5000 0.0000 0.5000
```

***

First-principles (SCAN) data for a PBEsol-optimized structure of CoHgSe, as listed in the Alexandria database.

Computed properties:
relative energy among the computed polymorphs: 453 meV/atom
spin magnetization: 8.27 μB per cell
crystal system: cubic

```
data_CoHgSe
_chemical_formula_sum 'Co4 Hg4 Se4'
_space_group_name_H-M_alt 'F -4 3 m'
_space_group_IT_number 216
_space_group_name_Hall 'F -4 2 3'
_cell_length_a 6.1793
_cell_length_b 6.1793
_cell_length_c 6.1793
_cell_angle_alpha 90.00
_cell_angle_beta 90.00
_cell_angle_gamma 90.00
loop_
_atom_site_label
_atom_site_fract_x
_atom_site_fract_y
_atom_site_fract_z
Co1 0.0000 0.0000 0.0000
Hg1 0.0000 0.0000 0.5000
Se1 0.2500 0.2500 0.2500
```

***

First-principles (SCAN) data for a PBEsol-optimized structure of CaYMg6, as listed in the Alexandria database.

Computed properties:
relative energy among the computed polymorphs: 0 meV/atom
spin magnetization: 0.44 μB per cell
crystal system: orthorhombic
formation energy from the elements: -0.07 eV per atom

```
data_CaYMg6
_chemical_formula_sum 'Ca2 Y2 Mg12'
_space_group_name_H-M_alt 'A m m 2'
_space_group_IT_number 38
_cell_length_a 5.1923
_cell_length_b 6.7026
_cell_length_c 11.6337
_cell_angle_alpha 90.00
_cell_angle_beta 90.00
_cell_angle_gamma 90.00
loop_
_space_group_symop_operation_xyz
'x,y,z'
'-x,-y,z'
'-x,y,z'
'x,-y,z'
'x,y+1/2,z+1/2'
'-x,-y+1/2,z+1/2'
'-x,y+1/2,z+1/2'
'x,-y+1/2,z+1/2'
loop_
_atom_site_label
_atom_site_fract_x
_atom_site_fract_y
_atom_site_fract_z
Ca1 0.0000 0.0000 0.0000
Y1 0.5000 0.0000 0.6651
Mg1 0.0000 0.0000 0.4958
Mg2 0.0000 0.2466 0.2509
Mg3 0.5000 0.0000 0.1738
Mg4 0.5000 0.2394 0.4117
```

***

Going through the records in order, we get Fermi-level density of states values of 3.080; 6.613; 20.944; 1.628; 3.824; 1.059; 4.414; 4.954; 10.131; 3.453; 9.733; 10.611 states/eV per cell.
Going through the records in order, we get total DFT energy (no corrections) values of -467.354; -171.911; -560.835; -192.095; -636.431; -105.538; -351.787; -128.228; -380.197; -113.298; -414.073; -135.781 eV/cell.